Entry 1:
First-principles (PBE) data for a geometry-optimized Sm4InTe2Pb structure, as listed in Alexandria.

a = 7.455 Å, b = 4.431 Å, c = 8.113 Å
α = 90.00°, β = 108.82°, γ = 90.00°
Fractional positions:
Sm: 0.249 0.000 0.249
Sm: 0.250 0.500 0.748
Sm: 0.750 0.500 0.252
Sm: 0.751 0.000 0.751
In: 0.500 0.000 0.000
Te: 0.000 0.000 0.500
Te: 0.500 0.500 0.500
Pb: 0.000 0.500 0.000

Total magnetic moment = 0.00 μB/f.u.
Formation energy (no corrections) = -0.93 eV/atom
DOS at the Fermi energy = 0.427 states/eV/atom

Entry 2:
First-principles (PBE) data for a geometry-optimized Sm6InTe3Pb2 structure, as listed in Alexandria.

a = 10.142 Å, b = 10.142 Å, c = 9.038 Å
α = 106.06°, β = 106.06°, γ = 25.41°
Fractional positions:
Sm: 0.001 0.001 0.250
Sm: 0.332 0.332 0.924
Sm: 0.334 0.334 0.418
Sm: 0.666 0.666 0.582
Sm: 0.668 0.668 0.076
Sm: 0.999 0.999 0.750
In: 0.500 0.500 0.500
Te: 0.168 0.168 0.330
Te: 0.500 0.500 0.000
Te: 0.832 0.832 0.670
Pb: 0.165 0.165 0.827
Pb: 0.835 0.835 0.173

Total magnetic moment = 0.00 μB/f.u.
Formation energy (no corrections) = -0.95 eV/atom
DOS at the Fermi energy = 0.499 states/eV/atom

Entry 3:
First-principles (PBE) data for a geometry-optimized Sm2In3Te6Pb structure, as listed in Alexandria.

a = 10.427 Å, b = 10.427 Å, c = 9.419 Å
α = 105.20°, β = 105.20°, γ = 24.79°
Fractional positions:
Sm: 0.168 0.168 0.333
Sm: 0.832 0.832 0.667
In: 0.165 0.165 0.834
In: 0.500 0.500 0.500
In: 0.835 0.835 0.166
Te: 0.008 0.008 0.260
Te: 0.331 0.331 0.429
Te: 0.333 0.333 0.900
Te: 0.667 0.667 0.100
Te: 0.669 0.669 0.571
Te: 0.992 0.992 0.740
Pb: 0.500 0.500 0.000

Total magnetic moment = 0.00 μB/f.u.
Formation energy (no corrections) = -0.75 eV/atom
DOS at the Fermi energy = 0.383 states/eV/atom

In Å³ per cell, the volume values for the records above are, in order, 253.7; 382.6; 413.6.